No. 1
First-principles (PBE-GGA) data for a geometry-optimized Be2CoNi structure, as listed in the Alexandria database.

Cell and atoms, written as CIF:
```
data_Be2CoNi
_chemical_formula_sum 'Be6 Co3 Ni3'
_symmetry_space_group_name_H-M 'R 3 m'
_symmetry_Int_Tables_number 160
_symmetry_space_group_name_Hall 'R 3 -2"'
_cell_length_a 2.4116
_cell_length_b 2.4116
_cell_length_c 22.8749
_cell_angle_alpha 90.00
_cell_angle_beta 90.00
_cell_angle_gamma 120.00
loop_
_atom_site_label
_atom_site_fract_x
_atom_site_fract_y
_atom_site_fract_z
Be1 0.0000 0.0000 0.0000
Be2 0.0000 0.0000 0.2491
Co1 0.0000 0.0000 0.7460
Ni1 0.0000 0.0000 0.5045
```

Values from the calculation:
E_tot	-61.45	eV per cell
energy relative to the lowest polymorph listed for this composition	382.6	meV per atom
crystal system	trigonal
density of states at the Fermi level	0.664	states/eV per atom
calculated formation energy	-0.145	eV/f.u.

---

No. 2
First-principles (PBE-GGA) data for a geometry-optimized Be5Co2Ni structure, as listed in the Alexandria database.

Cell and atoms, written as CIF:
```
data_Be5Co2Ni
_chemical_formula_sum 'Be10 Co4 Ni2'
_symmetry_space_group_name_H-M 'I m m m'
_symmetry_Int_Tables_number 71
_symmetry_space_group_name_Hall '-I 2 2'
_cell_length_a 2.3946
_cell_length_b 4.4783
_cell_length_c 13.3752
_cell_angle_alpha 90.00
_cell_angle_beta 90.00
_cell_angle_gamma 90.00
loop_
_atom_site_label
_atom_site_fract_x
_atom_site_fract_y
_atom_site_fract_z
Be1 0.0000 0.0000 0.0000
Be2 0.0000 0.2488 0.3793
Co1 0.0000 0.0000 0.2374
Ni1 0.0000 0.5000 0.0000
```

Values from the calculation:
E_tot	-79.26	eV per cell
energy relative to the lowest polymorph listed for this composition	196.9	meV per atom
crystal system	orthorhombic
density of states at the Fermi level	0.596	states/eV per atom
calculated formation energy	-1.008	eV/f.u.

---

No. 3
First-principles (PBE-GGA) data for a geometry-optimized Be6Co5Ni structure, as listed in the Alexandria database.

Cell and atoms, written as CIF:
```
data_Be6Co5Ni
_chemical_formula_sum 'Be12 Co10 Ni2'
_symmetry_space_group_name_H-M 'C m m m'
_symmetry_Int_Tables_number 65
_symmetry_space_group_name_Hall '-C 2 2'
_cell_length_a 3.6696
_cell_length_b 11.0230
_cell_length_c 5.1906
_cell_angle_alpha 90.00
_cell_angle_beta 90.00
_cell_angle_gamma 90.00
loop_
_atom_site_label
_atom_site_fract_x
_atom_site_fract_y
_atom_site_fract_z
Be1 0.0000 0.0000 0.2482
Be2 0.0000 0.3328 0.2497
Co1 0.0000 0.1666 0.0000
Co2 0.0000 0.1665 0.5000
Co3 0.0000 0.5000 0.0000
Ni1 0.0000 0.5000 0.5000
```

Values from the calculation:
E_tot	-135.60	eV per cell
crystal system	orthorhombic
density of states at the Fermi level	0.928	states/eV per atom
calculated formation energy	-4.131	eV/f.u.

---

No. 4
First-principles (PBE-GGA) data for a geometry-optimized BeCo2Ni2 structure, as listed in the Alexandria database.

Cell and atoms, written as CIF:
```
data_BeCo2Ni2
_chemical_formula_sum 'Be2 Co4 Ni4'
_symmetry_space_group_name_H-M 'P 4/m b m'
_symmetry_Int_Tables_number 127
_symmetry_space_group_name_Hall '-P 4 2ab'
_cell_length_a 6.7163
_cell_length_b 6.7163
_cell_length_c 2.5274
_cell_angle_alpha 90.00
_cell_angle_beta 90.00
_cell_angle_gamma 90.00
loop_
_atom_site_label
_atom_site_fract_x
_atom_site_fract_y
_atom_site_fract_z
Be1 0.0000 0.0000 0.0000
Co1 0.1739 0.3261 0.5000
Ni1 0.1249 0.6249 0.0000
```

Values from the calculation:
E_tot	-56.20	eV per cell
energy relative to the lowest polymorph listed for this composition	0.0	meV per atom
crystal system	tetragonal
density of states at the Fermi level	1.103	states/eV per atom
calculated formation energy	1.398	eV/f.u.

---

No. 5
First-principles (PBE-GGA) data for a geometry-optimized Be3Co2Ni structure, as listed in the Alexandria database.

Cell and atoms, written as CIF:
```
data_Be3Co2Ni
_chemical_formula_sum 'Be3 Co2 Ni1'
_symmetry_space_group_name_H-M 'P 4/m m m'
_symmetry_Int_Tables_number 123
_symmetry_space_group_name_Hall '-P 4 2'
_cell_length_a 2.5997
_cell_length_b 2.5997
_cell_length_c 7.7903
_cell_angle_alpha 90.00
_cell_angle_beta 90.00
_cell_angle_gamma 90.00
loop_
_atom_site_label
_atom_site_fract_x
_atom_site_fract_y
_atom_site_fract_z
Be1 0.0000 0.0000 0.0000
Be2 0.0000 0.0000 0.3275
Co1 0.5000 0.5000 0.1650
Ni1 0.5000 0.5000 0.5000
```

Values from the calculation:
E_tot	-33.43	eV per cell
energy relative to the lowest polymorph listed for this composition	3.4	meV per atom
crystal system	tetragonal
density of states at the Fermi level	0.821	states/eV per atom
calculated formation energy	-2.256	eV/f.u.

---

No. 6
First-principles (PBE-GGA) data for a geometry-optimized Be6CoNi structure, as listed in the Alexandria database.

Cell and atoms, written as CIF:
```
data_Be6CoNi
_chemical_formula_sum 'Be6 Co1 Ni1'
_symmetry_space_group_name_H-M 'P m -3'
_symmetry_Int_Tables_number 200
_symmetry_space_group_name_Hall '-P 2 2 3'
_cell_length_a 4.1047
_cell_length_b 4.1047
_cell_length_c 4.1047
_cell_angle_alpha 90.00
_cell_angle_beta 90.00
_cell_angle_gamma 90.00
loop_
_atom_site_label
_atom_site_fract_x
_atom_site_fract_y
_atom_site_fract_z
Be1 0.0000 0.2475 0.5000
Co1 0.0000 0.0000 0.0000
Ni1 0.5000 0.5000 0.5000
```

Values from the calculation:
E_tot	-36.00	eV per cell
energy relative to the lowest polymorph listed for this composition	187.8	meV per atom
crystal system	cubic
density of states at the Fermi level	0.629	states/eV per atom
calculated formation energy	-0.751	eV/f.u.

---

No. 7
First-principles (PBE-GGA) data for a geometry-optimized Be2CoNi structure, as listed in the Alexandria database.

Cell and atoms, written as CIF:
```
data_Be2CoNi
_chemical_formula_sum 'Be8 Co4 Ni4'
_symmetry_space_group_name_H-M 'I -4 2 d'
_symmetry_Int_Tables_number 122
_symmetry_space_group_name_Hall 'I -4 2bw'
_cell_length_a 5.6898
_cell_length_b 5.6898
_cell_length_c 4.7915
_cell_angle_alpha 90.00
_cell_angle_beta 90.00
_cell_angle_gamma 90.00
loop_
_atom_site_label
_atom_site_fract_x
_atom_site_fract_y
_atom_site_fract_z
Be1 0.2491 0.2500 0.1250
Co1 0.0000 0.0000 0.5000
Ni1 0.0000 0.0000 0.0000
```

Values from the calculation:
E_tot	-79.03	eV per cell
energy relative to the lowest polymorph listed for this composition	564.3	meV per atom
crystal system	tetragonal
density of states at the Fermi level	0.996	states/eV per atom
calculated formation energy	0.582	eV/f.u.

---

No. 8
First-principles (PBE-GGA) data for a geometry-optimized Be2CoNi structure, as listed in the Alexandria database.

Cell and atoms, written as CIF:
```
data_Be2CoNi
_chemical_formula_sum 'Be2 Co1 Ni1'
_symmetry_space_group_name_H-M 'P 4/m m m'
_symmetry_Int_Tables_number 123
_symmetry_space_group_name_Hall '-P 4 2'
_cell_length_a 2.6048
_cell_length_b 2.6048
_cell_length_c 5.1804
_cell_angle_alpha 90.00
_cell_angle_beta 90.00
_cell_angle_gamma 90.00
loop_
_atom_site_label
_atom_site_fract_x
_atom_site_fract_y
_atom_site_fract_z
Be1 0.0000 0.0000 0.2396
Co1 0.5000 0.5000 0.0000
Ni1 0.5000 0.5000 0.5000
```

Values from the calculation:
E_tot	-21.99	eV per cell
energy relative to the lowest polymorph listed for this composition	5.7	meV per atom
crystal system	tetragonal
density of states at the Fermi level	0.554	states/eV per atom
calculated formation energy	-1.653	eV/f.u.

---

Question: Among the records above, which one has the lowest E_tot?
Answer: Be6Co5Ni

---

Copy entry 4 word for word.
First-principles (PBE-GGA) data for a geometry-optimized BeCo2Ni2 structure, as listed in the Alexandria database.

Cell and atoms, written as CIF:
```
data_BeCo2Ni2
_chemical_formula_sum 'Be2 Co4 Ni4'
_symmetry_space_group_name_H-M 'P 4/m b m'
_symmetry_Int_Tables_number 127
_symmetry_space_group_name_Hall '-P 4 2ab'
_cell_length_a 6.7163
_cell_length_b 6.7163
_cell_length_c 2.5274
_cell_angle_alpha 90.00
_cell_angle_beta 90.00
_cell_angle_gamma 90.00
loop_
_atom_site_label
_atom_site_fract_x
_atom_site_fract_y
_atom_site_fract_z
Be1 0.0000 0.0000 0.0000
Co1 0.1739 0.3261 0.5000
Ni1 0.1249 0.6249 0.0000
```

Values from the calculation:
E_tot	-56.20	eV per cell
energy relative to the lowest polymorph listed for this composition	0.0	meV per atom
crystal system	tetragonal
density of states at the Fermi level	1.103	states/eV per atom
calculated formation energy	1.398	eV/f.u.

---

Question: Among the records above, which one has the lowest density of states at the Fermi level?
Answer: number 8

---

Question: Which value of calculated formation energy does entry 8 give?
Answer: -1.653 eV/f.u.